Entry 1:
Material: GdHoGa2Co4
Method: DFT, GGA-PBE
State: optimized geometry

Cell and atoms, written as CIF:
```
data_GdHoGa2Co4
_symmetry_space_group_name_H-M 'P -6 m 2'
_symmetry_Int_Tables_number 187
_symmetry_space_group_name_Hall 'P -6 2'
_cell_length_a 4.1305
_cell_length_b 4.1305
_cell_length_c 9.1231
_cell_angle_alpha 90.00
_cell_angle_beta 90.00
_cell_angle_gamma 120.00
loop_
_atom_site_label
_atom_site_fract_x
_atom_site_fract_y
_atom_site_fract_z
_atom_site_occupancy
Gd1 0.0000 0.0000 0.0000 1
Ho1 0.3333 0.6667 0.5000 1
Ga1 0.6667 0.3333 0.2525 1
Co1 0.0000 0.0000 0.2946 1
Co2 0.3333 0.6667 0.2118 1
```

Summary:
The calculated volume is 134.8 Å³/f.u. The spin magnetization comes out at 1.49 μB/cell. The calculation puts the total energy at -5.752 eV/atom. As for the crystal system: hexagonal.

=====

Entry 2:
Material: Ho2Nb2F
Method: DFT, GGA-PBE
State: optimized geometry

Cell and atoms, written as CIF:
```
data_Ho2Nb2F
_symmetry_space_group_name_H-M 'I 4/m m m'
_symmetry_Int_Tables_number 139
_symmetry_space_group_name_Hall '-I 4 2'
_cell_length_a 4.563
_cell_length_b 4.563
_cell_length_c 9.485
_cell_angle_alpha 90.00
_cell_angle_beta 90.00
_cell_angle_gamma 90.00
loop_
_atom_site_label
_atom_site_fract_x
_atom_site_fract_y
_atom_site_fract_z
_atom_site_occupancy
Ho1 0.000 0.500 0.000 1
Nb1 0.000 0.000 0.233 1
F1 0.000 0.000 0.500 1
```

Summary:
The calculated volume is 98.8 Å³/f.u. The spin magnetization comes out at 0.02 μB/cell. The calculation puts the total energy at -6.668 eV/atom. As for the crystal system: tetragonal.

=====

Entry 3:
Material: LiCuTcB
Method: DFT, GGA-PBE
State: optimized geometry

Cell and atoms, written as CIF:
```
data_LiCuTcB
_symmetry_space_group_name_H-M 'F -4 3 m'
_symmetry_Int_Tables_number 216
_symmetry_space_group_name_Hall 'F -4 2 3'
_cell_length_a 5.588
_cell_length_b 5.588
_cell_length_c 5.588
_cell_angle_alpha 90.00
_cell_angle_beta 90.00
_cell_angle_gamma 90.00
loop_
_atom_site_label
_atom_site_fract_x
_atom_site_fract_y
_atom_site_fract_z
_atom_site_occupancy
Li1 0.000 0.000 0.000 1
Cu1 0.000 0.000 0.500 1
Tc1 0.250 0.250 0.750 1
B1 0.250 0.250 0.250 1
```

Summary:
The calculated volume is 43.6 Å³/f.u. The spin magnetization comes out at 3.50 μB/cell. The calculation puts the total energy at -4.872 eV/atom. As for the crystal system: cubic.

=====

Entry 4:
Material: Zn2Sn2As3P
Method: DFT, GGA-PBE
State: optimized geometry

Cell and atoms, written as CIF:
```
data_Zn2Sn2As3P
_symmetry_space_group_name_H-M 'C 1 2 1'
_symmetry_Int_Tables_number 5
_cell_length_a 13.147
_cell_length_b 5.879
_cell_length_c 5.866
_cell_angle_alpha 90.00
_cell_angle_beta 116.41
_cell_angle_gamma 90.00
loop_
_symmetry_equiv_pos_as_xyz
'x,y,z'
'-x,y,-z'
'x+1/2,y+1/2,z'
'-x+1/2,y+1/2,-z'
loop_
_atom_site_label
_atom_site_fract_x
_atom_site_fract_y
_atom_site_fract_z
_atom_site_occupancy
Zn1 0.121 0.000 0.361 1
Sn1 0.124 0.486 0.878 1
As1 0.000 0.765 0.500 1
As2 0.250 0.241 0.723 1
P1 0.000 0.224 0.000 1
```

Summary:
The calculated volume is 203.0 Å³/f.u. The calculation puts the total energy at -3.929 eV/atom. As for the crystal system: monoclinic.

=====

Entry 5:
Material: BaMgReTc
Method: DFT, GGA-PBE
State: optimized geometry

Cell and atoms, written as CIF:
```
data_BaMgReTc
_symmetry_space_group_name_H-M 'F -4 3 m'
_symmetry_Int_Tables_number 216
_symmetry_space_group_name_Hall 'F -4 2 3'
_cell_length_a 6.818
_cell_length_b 6.818
_cell_length_c 6.818
_cell_angle_alpha 90.00
_cell_angle_beta 90.00
_cell_angle_gamma 90.00
loop_
_atom_site_label
_atom_site_fract_x
_atom_site_fract_y
_atom_site_fract_z
_atom_site_occupancy
Ba1 0.000 0.000 0.000 1
Mg1 0.000 0.000 0.500 1
Re1 0.250 0.250 0.750 1
Tc1 0.250 0.250 0.250 1
```

Summary:
The calculated volume is 79.2 Å³/f.u. The spin magnetization comes out at 3.40 μB/cell. The calculation puts the total energy at -5.131 eV/atom. As for the crystal system: cubic.

=====

Entry 6:
Material: HgB4Sb
Method: DFT, GGA-PBE
State: optimized geometry

Cell and atoms, written as CIF:
```
data_HgB4Sb
_symmetry_space_group_name_H-M 'I m m m'
_symmetry_Int_Tables_number 71
_symmetry_space_group_name_Hall '-I 2 2'
_cell_length_a 3.111
_cell_length_b 5.364
_cell_length_c 8.983
_cell_angle_alpha 90.00
_cell_angle_beta 90.00
_cell_angle_gamma 90.00
loop_
_atom_site_label
_atom_site_fract_x
_atom_site_fract_y
_atom_site_fract_z
_atom_site_occupancy
Hg1 0.000 0.000 0.000 1
B1 0.000 0.331 0.249 1
Sb1 0.000 0.000 0.500 1
```

Summary:
The calculated volume is 75.0 Å³/f.u. The calculation puts the total energy at -4.456 eV/atom. As for the crystal system: orthorhombic.

=====

Entry 7:
Material: Cs2CdAgBr6
Method: DFT, GGA-PBE
State: optimized geometry

Cell and atoms, written as CIF:
```
data_Cs2CdAgBr6
_symmetry_space_group_name_H-M 'F m -3 m'
_symmetry_Int_Tables_number 225
_symmetry_space_group_name_Hall '-F 4 2 3'
_cell_length_a 11.095
_cell_length_b 11.095
_cell_length_c 11.095
_cell_angle_alpha 90.00
_cell_angle_beta 90.00
_cell_angle_gamma 90.00
loop_
_atom_site_label
_atom_site_fract_x
_atom_site_fract_y
_atom_site_fract_z
_atom_site_occupancy
Cs1 0.250 0.250 0.250 1
Cd1 0.000 0.000 0.000 1
Ag1 0.000 0.000 0.500 1
Br1 0.000 0.000 0.251 1
```

Summary:
The calculated volume is 341.4 Å³/f.u. The calculation puts the total energy at -2.594 eV/atom. As for the crystal system: cubic.

=====

Entry 8:
Material: CsSnHg3O4
Method: DFT, GGA-PBE
State: optimized geometry

Cell and atoms, written as CIF:
```
data_CsSnHg3O4
_symmetry_space_group_name_H-M 'P -4 3 m'
_symmetry_Int_Tables_number 215
_symmetry_space_group_name_Hall 'P -4 2 3'
_cell_length_a 6.149
_cell_length_b 6.149
_cell_length_c 6.149
_cell_angle_alpha 90.00
_cell_angle_beta 90.00
_cell_angle_gamma 90.00
loop_
_atom_site_label
_atom_site_fract_x
_atom_site_fract_y
_atom_site_fract_z
_atom_site_occupancy
Cs1 0.000 0.000 0.000 1
Sn1 0.500 0.500 0.500 1
Hg1 0.000 0.500 0.500 1
O1 0.311 0.311 0.311 1
```

Summary:
The calculated volume is 232.5 Å³/f.u. The calculation puts the total energy at -3.442 eV/atom. As for the crystal system: cubic.